This record from Alexandria via LeMat-Bulk describes an optimized crystal structure of BaFePb2. The functional is PBE-GGA.

Results
Total moment ... 0.63 μB per atom

Lattice parameters (Å, degrees): 5.4198 4.5777 5.4352 90.00 109.64 90.00
Closest atoms and distances in Å follow each position.
Fractional coordinates of all 4 atoms:
Ba 0.0000 0.0000 0.0000  2 Fe 3.13
Fe 0.5000 0.0000 0.5000  4 Pb 2.77
Pb 0.3250 0.5000 0.6748  2 Fe 2.77
Pb 0.6750 0.5000 0.3252  2 Fe 2.77

---

This record from Alexandria via LeMat-Bulk describes an optimized crystal structure of BaFePb2. The functional is PBE-GGA.

Results
Total moment ... 0.59 μB per atom

Lattice parameters (Å, degrees): 4.7559 6.5767 6.5767 44.52 90.00 90.00
Closest atoms and distances in Å follow each position.
Fractional coordinates of all 4 atoms:
Ba 0.0000 0.0000 0.0000  2 Fe 3.51, 3 Pb 3.53-3.59
Fe 0.5000 0.2124 0.2124  4 Pb 2.58
Pb 0.0000 0.2946 0.2946  2 Fe 2.58
Pb 0.5000 0.6585 0.6585  2 Fe 2.58

---

no.,ΔE_f (meV/atom)
1,100
2,162